# LiPRh | the Alexandria database | PBE-GGA | relaxed
# SG   F-43m
# Crystal system   cubic
# Energy of formation   -0.60 eV/atom
data_LiPRh
_chemical_formula_sum 'Li1 P1 Rh1'
_space_group_name_H-M_alt 'P 1'
_space_group_IT_number 1
_cell_length_a 3.9033
_cell_length_b 3.9033
_cell_length_c 3.9033
_cell_angle_alpha 60.00
_cell_angle_beta 60.00
_cell_angle_gamma 60.00
loop_
_space_group_symop_operation_xyz
'x,y,z'
loop_
_atom_site_label
_atom_site_type_symbol
_atom_site_fract_x
_atom_site_fract_y
_atom_site_fract_z
Li1 Li 0.5000 0.5000 0.5000
P1 P 0.7500 0.7500 0.7500
Rh1 Rh 0.0000 0.0000 0.0000